6
Lattice="3.951 0.000 0.000 -1.975 3.421 0.000 0.000 0.000 12.109" Properties=species:S:1:pos:R:3 comment="HoLuCo2I2 | the Open Quantum Materials Database | PBE-GGA | relaxed" crystal_system=trigonal energy_ry_per_atom=-0.382 pbc="T T T"
Ho 0.000 0.000 0.000
Lu 0.000 0.000 8.528
Co 0.000 2.281 10.247
Co 1.975 1.140 10.323
I 0.000 2.281 2.162
I 1.975 1.140 6.413

6
Lattice="3.975 0.000 0.000 -1.988 3.443 0.000 0.000 0.000 12.295" Properties=species:S:1:pos:R:3 comment="TbHoCo2I2 | the Open Quantum Materials Database | PBE-GGA | relaxed" crystal_system=trigonal energy_ry_per_atom=-0.383 pbc="T T T"
Tb 0.000 0.000 0.000
Ho 0.000 0.000 3.648
Co 0.000 2.295 1.788
Co 1.988 1.148 1.874
I 0.000 2.295 5.808
I 1.988 1.148 10.132

6
Lattice="3.955 0.000 0.000 -1.978 3.426 0.000 0.000 0.000 12.217" Properties=species:S:1:pos:R:3 comment="HoTmCo2I2 | the Open Quantum Materials Database | PBE-GGA | relaxed" crystal_system=trigonal energy_ry_per_atom=-0.381 pbc="T T T"
Ho 0.000 0.000 0.000
Tm 0.000 0.000 3.617
Co 0.000 2.284 1.773
Co 1.978 1.142 1.857
I 0.000 2.284 5.764
I 1.978 1.142 10.068

11
Lattice="4.596 0.000 0.000 0.000 4.596 0.000 0.000 0.000 12.153" Properties=species:S:1:pos:R:3 comment="Ho2In8Co | the Open Quantum Materials Database | PBE-GGA | relaxed" crystal_system=tetragonal energy_ry_per_atom=-0.277 pbc="T T T"
Ho 0.000 0.000 2.353
Ho 0.000 0.000 9.800
In 0.000 2.298 0.000
In 0.000 2.298 4.624
In 0.000 2.298 7.529
In 2.298 0.000 0.000
In 2.298 0.000 4.624
In 2.298 0.000 7.529
In 2.298 2.298 2.344
In 2.298 2.298 9.809
Co 0.000 0.000 6.076